Material: Li7Mn2Co3O12
Method: DFT, PBE with a Hubbard U
State: optimized geometry

Cell: 2.970 6.433 11.948 Å, 102.95 93.77 103.28°
Space group P1 (No. 1)
Unique sites:
1 Li 0.000 0.000 0.000 (multiplicity 1)
2 Li 0.014 0.005 0.504 (multiplicity 1)
3 Li 0.318 0.657 0.833 (multiplicity 1)
4 Li 0.334 0.666 0.090 (multiplicity 1)
5 Li 0.387 0.667 0.323 (multiplicity 1)
6 Li 0.679 0.343 0.666 (multiplicity 1)
7 Li 0.699 0.356 0.165 (multiplicity 1)
8 Mn 0.005 0.004 0.751 (multiplicity 1)
9 Mn 0.040 0.999 0.245 (multiplicity 1)
10 Co 0.361 0.671 0.581 (multiplicity 1)
11 Co 0.663 0.350 0.925 (multiplicity 1)
12 Co 0.720 0.343 0.414 (multiplicity 1)
13 O 0.136 0.334 0.032 (multiplicity 1)
14 O 0.181 0.352 0.535 (multiplicity 1)
15 O 0.184 0.323 0.796 (multiplicity 1)
16 O 0.239 0.328 0.297 (multiplicity 1)
17 O 0.484 0.025 0.876 (multiplicity 1)
18 O 0.518 0.008 0.140 (multiplicity 1)
19 O 0.534 0.990 0.624 (multiplicity 1)
20 O 0.578 0.022 0.361 (multiplicity 1)
21 O 0.820 0.636 0.951 (multiplicity 1)
22 O 0.826 0.682 0.703 (multiplicity 1)
23 O 0.877 0.697 0.213 (multiplicity 1)
24 O 0.885 0.658 0.464 (multiplicity 1)

Summary:
total magnetization = 14.00 μB per formula unit
offset from the most stable computed form = 1.43 eV/f.u.
DFT total energy = -140.1 eV per cell
V = 8.95 Å³/atom